[1]
NaTl2Zn2 after structural relaxation, computed with PBE-GGA.

Geometry as POSCAR:
```
NaTl2Zn2
1.0
8.467 0.000 0.000
0.000 8.467 0.000
0.000 0.000 3.500
Na Tl Zn
2 4 4
direct
0.000 0.000 0.000 Na
0.500 0.500 0.000 Na
0.148 0.352 0.000 Tl
0.352 0.852 0.000 Tl
0.648 0.148 0.000 Tl
0.852 0.648 0.000 Tl
0.150 0.650 0.500 Zn
0.350 0.150 0.500 Zn
0.650 0.850 0.500 Zn
0.850 0.350 0.500 Zn
```

Computed properties:
Excess energy over the best structure of this formula in the dataset, eV/atom: 0.047
Total moment, μB per cell: 0.0

[2]
Na3TlZn after structural relaxation, computed with PBE-GGA.

Geometry as POSCAR:
```
Na3TlZn
1.0
5.761 -4.603 0.000
5.761 4.603 0.000
-5.065 0.000 5.887
Na Tl Zn
6 2 2
direct
0.052 0.052 0.328 Na
0.095 0.472 0.248 Na
0.472 0.095 0.248 Na
0.528 0.905 0.752 Na
0.905 0.528 0.752 Na
0.948 0.948 0.672 Na
0.425 0.425 0.711 Tl
0.575 0.575 0.289 Tl
0.277 0.277 0.894 Zn
0.723 0.723 0.106 Zn
```

Computed properties:
Excess energy over the best structure of this formula in the dataset, eV/atom: 0.012
Total moment, μB per cell: 0.0

[3]
Na6Tl5Zn after structural relaxation, computed with PBE-GGA.

Geometry as POSCAR:
```
Na6Tl5Zn
1.0
4.522 0.000 0.000
2.187 8.888 0.000
2.217 3.328 8.244
Na Tl Zn
6 5 1
direct
0.000 0.244 0.256 Na
0.000 0.756 0.744 Na
0.334 0.418 0.415 Na
0.334 0.914 0.918 Na
0.666 0.086 0.082 Na
0.666 0.582 0.585 Na
0.143 0.358 0.857 Tl
0.167 0.831 0.331 Tl
0.500 0.000 0.500 Tl
0.833 0.169 0.669 Tl
0.857 0.642 0.143 Tl
0.500 0.500 0.000 Zn
```

Computed properties:
Total moment, μB per cell: 0.0
Uncorrected energy, eV per atom: -1.8175

[4]
Na3TlZn after structural relaxation, computed with PBE-GGA.

Geometry as POSCAR:
```
Na3TlZn
1.0
5.577 0.000 0.000
0.000 5.577 0.000
0.000 0.000 5.577
Na Tl Zn
3 1 1
direct
0.000 0.000 0.500 Na
0.000 0.500 0.000 Na
0.500 0.000 0.000 Na
0.500 0.500 0.500 Tl
0.000 0.000 0.000 Zn
```

Computed properties:
Excess energy over the best structure of this formula in the dataset, eV/atom: 0.160
Total moment, μB per cell: 0.0

[5]
Na3TlZn after structural relaxation, computed with PBE-GGA.

Geometry as POSCAR:
```
Na3TlZn
1.0
5.951 0.000 0.000
0.000 5.951 0.000
0.000 0.000 5.951
Na Tl Zn
3 1 1
direct
0.000 0.000 0.500 Na
0.000 0.500 0.000 Na
0.500 0.000 0.000 Na
0.000 0.000 0.000 Tl
0.500 0.500 0.500 Zn
```

Computed properties:
Excess energy over the best structure of this formula in the dataset, eV/atom: 0.286
Total moment, μB per cell: 0.0

[6]
Na3Tl2Zn after structural relaxation, computed with PBE-GGA.

Geometry as POSCAR:
```
Na3Tl2Zn
1.0
-4.804 6.331 3.055
4.804 -6.331 3.055
4.804 6.331 -3.055
Na Tl Zn
6 4 2
direct
0.191 0.633 0.824 Na
0.250 0.250 0.000 Na
0.309 0.133 0.441 Na
0.691 0.867 0.559 Na
0.750 0.750 0.000 Na
0.809 0.367 0.176 Na
0.085 0.278 0.363 Tl
0.415 0.778 0.192 Tl
0.585 0.222 0.808 Tl
0.915 0.722 0.637 Tl
0.250 0.750 0.500 Zn
0.750 0.250 0.500 Zn
```

Computed properties:
Total moment, μB per cell: 0.0
Uncorrected energy, eV per atom: -1.6659

[7]
Na2TlZn after structural relaxation, computed with PBE-GGA.

Geometry as POSCAR:
```
Na2TlZn
1.0
3.447 0.000 0.000
0.000 3.447 0.000
0.000 0.000 8.727
Na Tl Zn
2 1 1
direct
0.000 0.000 0.230 Na
0.000 0.000 0.770 Na
0.500 0.500 0.500 Tl
0.500 0.500 0.000 Zn
```

Computed properties:
Total moment, μB per cell: 0.0
Uncorrected energy, eV per atom: -1.5500

[8]
NaTl3Zn after structural relaxation, computed with PBE-GGA.

Geometry as POSCAR:
```
NaTl3Zn
1.0
5.681 0.000 0.000
0.000 5.681 0.000
0.000 0.000 5.681
Na Tl Zn
1 3 1
direct
0.000 0.000 0.000 Na
0.000 0.000 0.500 Tl
0.000 0.500 0.000 Tl
0.500 0.000 0.000 Tl
0.500 0.500 0.500 Zn
```

Computed properties:
Excess energy over the best structure of this formula in the dataset, eV/atom: 0.352
Total moment, μB per cell: 0.0

[9]
Na2TlZn2 after structural relaxation, computed with PBE-GGA.

Geometry as POSCAR:
```
Na2TlZn2
1.0
8.860 0.000 0.000
0.000 8.860 0.000
0.000 0.000 3.205
Na Tl Zn
4 2 4
direct
0.139 0.361 0.000 Na
0.361 0.861 0.000 Na
0.639 0.139 0.000 Na
0.861 0.639 0.000 Na
0.000 0.000 0.000 Tl
0.500 0.500 0.000 Tl
0.157 0.657 0.500 Zn
0.343 0.157 0.500 Zn
0.657 0.843 0.500 Zn
0.843 0.343 0.500 Zn
```

Computed properties:
Excess energy over the best structure of this formula in the dataset, eV/atom: 0.107
Total moment, μB per cell: 0.0

[10]
Na12Tl2Zn after structural relaxation, computed with PBE-GGA.

Geometry as POSCAR:
```
Na12Tl2Zn
1.0
6.686 0.000 0.000
0.000 6.686 0.000
0.000 0.000 23.779
Na Tl Zn
24 4 2
direct
0.000 0.000 0.082 Na
0.000 0.000 0.918 Na
0.000 0.500 0.082 Na
0.000 0.500 0.918 Na
0.071 0.571 0.432 Na
0.071 0.929 0.568 Na
0.250 0.250 0.188 Na
0.250 0.250 0.317 Na
0.250 0.250 0.683 Na
0.250 0.250 0.812 Na
0.429 0.571 0.568 Na
0.429 0.929 0.432 Na
0.500 0.000 0.082 Na
0.500 0.000 0.918 Na
0.500 0.500 0.082 Na
0.500 0.500 0.918 Na
0.571 0.071 0.568 Na
0.571 0.429 0.432 Na
0.750 0.750 0.188 Na
0.750 0.750 0.317 Na
0.750 0.750 0.683 Na
0.750 0.750 0.812 Na
0.929 0.071 0.432 Na
0.929 0.429 0.568 Na
0.250 0.750 0.210 Tl
0.250 0.750 0.790 Tl
0.750 0.250 0.210 Tl
0.750 0.250 0.790 Tl
0.250 0.750 0.000 Zn
0.750 0.250 0.000 Zn
```

Computed properties:
Total moment, μB per cell: 0.0
Uncorrected energy, eV per atom: -1.3657

[11]
Na6Tl2Zn after structural relaxation, computed with PBE-GGA.

Geometry as POSCAR:
```
Na6Tl2Zn
1.0
2.756 1.591 10.293
-2.756 1.591 10.293
0.000 -3.183 10.293
Na Tl Zn
6 2 1
direct
0.077 0.077 0.077 Na
0.196 0.196 0.196 Na
0.308 0.308 0.308 Na
0.692 0.692 0.692 Na
0.804 0.804 0.804 Na
0.923 0.923 0.923 Na
0.412 0.412 0.412 Tl
0.588 0.588 0.588 Tl
0.500 0.500 0.500 Zn
```

Computed properties:
Total moment, μB per cell: 0.0
Uncorrected energy, eV per atom: -1.5923

[12]
Na2Tl2Zn after structural relaxation, computed with PBE-GGA.

Geometry as POSCAR:
```
Na2Tl2Zn
1.0
7.486 0.000 0.000
0.000 7.486 0.000
0.000 0.000 5.047
Na Tl Zn
4 4 2
direct
0.165 0.335 0.000 Na
0.335 0.835 0.000 Na
0.665 0.165 0.000 Na
0.835 0.665 0.000 Na
0.147 0.647 0.500 Tl
0.353 0.147 0.500 Tl
0.647 0.853 0.500 Tl
0.853 0.353 0.500 Tl
0.000 0.000 0.500 Zn
0.500 0.500 0.500 Zn
```

Computed properties:
Excess energy over the best structure of this formula in the dataset, eV/atom: 0.028
Total moment, μB per cell: 0.0

[13]
Na3TlZn after structural relaxation, computed with PBE-GGA.

Geometry as POSCAR:
```
Na3TlZn
1.0
5.183 -4.234 0.000
5.183 4.234 0.000
-4.788 0.000 6.805
Na Tl Zn
6 2 2
direct
0.000 0.000 0.246 Na
0.000 0.000 0.754 Na
0.096 0.495 0.756 Na
0.495 0.096 0.756 Na
0.505 0.904 0.244 Na
0.904 0.505 0.244 Na
0.360 0.360 0.133 Tl
0.640 0.640 0.867 Tl
0.366 0.366 0.485 Zn
0.634 0.634 0.515 Zn
```

Computed properties:
Excess energy over the best structure of this formula in the dataset, eV/atom: 0.000
Total moment, μB per cell: 0.0

[14]
Na8Tl6Zn after structural relaxation, computed with PBE-GGA.

Geometry as POSCAR:
```
Na8Tl6Zn
1.0
4.523 2.611 6.600
-4.523 2.611 6.600
0.000 -5.222 6.600
Na Tl Zn
8 6 1
direct
0.014 0.396 0.734 Na
0.160 0.160 0.160 Na
0.266 0.986 0.604 Na
0.396 0.734 0.014 Na
0.604 0.266 0.986 Na
0.734 0.014 0.396 Na
0.840 0.840 0.840 Na
0.986 0.604 0.266 Na
0.150 0.760 0.451 Tl
0.240 0.549 0.850 Tl
0.451 0.150 0.760 Tl
0.549 0.850 0.240 Tl
0.760 0.451 0.150 Tl
0.850 0.240 0.549 Tl
0.500 0.500 0.500 Zn
```

Computed properties:
Total moment, μB per cell: 0.0
Uncorrected energy, eV per atom: -1.7907

[15]
Na2TlZn2 after structural relaxation, computed with PBE-GGA.

Geometry as POSCAR:
```
Na2TlZn2
1.0
7.699 0.000 0.000
0.000 7.699 0.000
0.000 0.000 4.115
Na Tl Zn
4 2 4
direct
0.178 0.322 0.000 Na
0.322 0.822 0.000 Na
0.678 0.178 0.000 Na
0.822 0.678 0.000 Na
0.000 0.000 0.500 Tl
0.500 0.500 0.500 Tl
0.118 0.618 0.500 Zn
0.382 0.118 0.500 Zn
0.618 0.882 0.500 Zn
0.882 0.382 0.500 Zn
```

Computed properties:
Excess energy over the best structure of this formula in the dataset, eV/atom: 0.000
Total moment, μB per cell: 0.0

[16]
Na4TlZn after structural relaxation, computed with PBE-GGA.

Geometry as POSCAR:
```
Na4TlZn
1.0
2.732 -5.077 0.000
2.732 5.077 0.000
-2.690 0.000 12.148
Na Tl Zn
8 2 2
direct
0.028 0.700 0.727 Na
0.162 0.838 0.000 Na
0.298 0.298 0.594 Na
0.300 0.972 0.273 Na
0.700 0.028 0.727 Na
0.702 0.702 0.406 Na
0.838 0.162 0.000 Na
0.972 0.300 0.273 Na
0.440 0.440 0.868 Tl
0.560 0.560 0.132 Tl
0.250 0.750 0.500 Zn
0.750 0.250 0.500 Zn
```

Computed properties:
Total moment, μB per cell: 0.0
Uncorrected energy, eV per atom: -1.5081

[17]
Na4Tl5Zn after structural relaxation, computed with PBE-GGA.

Geometry as POSCAR:
```
Na4Tl5Zn
1.0
3.768 0.000 0.000
0.000 3.768 0.000
0.000 0.000 19.071
Na Tl Zn
4 5 1
direct
0.000 0.000 0.102 Na
0.000 0.000 0.308 Na
0.000 0.000 0.692 Na
0.000 0.000 0.898 Na
0.500 0.500 0.000 Tl
0.500 0.500 0.203 Tl
0.500 0.500 0.413 Tl
0.500 0.500 0.587 Tl
0.500 0.500 0.797 Tl
0.000 0.000 0.500 Zn
```

Computed properties:
Excess energy over the best structure of this formula in the dataset, eV/atom: 0.000
Total moment, μB per cell: 0.0

[18]
Na2Tl6Zn after structural relaxation, computed with PBE-GGA.

Geometry as POSCAR:
```
Na2Tl6Zn
1.0
7.862 -1.711 0.000
7.862 1.711 0.000
-6.094 0.000 9.615
Na Tl Zn
2 6 1
direct
0.156 0.156 0.295 Na
0.844 0.844 0.705 Na
0.119 0.119 0.555 Tl
0.276 0.276 0.894 Tl
0.453 0.453 0.238 Tl
0.547 0.547 0.762 Tl
0.724 0.724 0.106 Tl
0.881 0.881 0.445 Tl
0.500 0.500 0.000 Zn
```

Computed properties:
Total moment, μB per cell: 0.0
Uncorrected energy, eV per atom: -2.0134

[19]
Na3Tl12Zn after structural relaxation, computed with PBE-GGA.

Geometry as POSCAR:
```
Na3Tl12Zn
1.0
4.964 0.000 0.000
0.000 4.964 0.000
0.000 0.000 18.624
Na Tl Zn
3 12 1
direct
0.000 0.000 0.000 Na
0.000 0.000 0.252 Na
0.000 0.000 0.748 Na
0.000 0.500 0.126 Tl
0.000 0.500 0.383 Tl
0.000 0.500 0.617 Tl
0.000 0.500 0.874 Tl
0.500 0.000 0.126 Tl
0.500 0.000 0.383 Tl
0.500 0.000 0.617 Tl
0.500 0.000 0.874 Tl
0.500 0.500 0.000 Tl
0.500 0.500 0.253 Tl
0.500 0.500 0.500 Tl
0.500 0.500 0.747 Tl
0.000 0.000 0.500 Zn
```

Computed properties:
Total moment, μB per cell: 0.0
Uncorrected energy, eV per atom: -2.1194

[20]
Na5Tl6Zn after structural relaxation, computed with PBE-GGA.

Geometry as POSCAR:
```
Na5Tl6Zn
1.0
5.269 0.000 0.000
-0.005 7.798 0.000
-2.351 -3.893 8.012
Na Tl Zn
5 6 1
direct
0.000 0.000 0.000 Na
0.311 0.316 0.633 Na
0.332 0.837 0.674 Na
0.668 0.163 0.326 Na
0.689 0.684 0.367 Na
0.161 0.425 0.308 Tl
0.161 0.883 0.308 Tl
0.500 0.279 0.000 Tl
0.500 0.721 0.000 Tl
0.839 0.117 0.692 Tl
0.839 0.575 0.692 Tl
0.000 0.500 0.000 Zn
```

Computed properties:
Total moment, μB per cell: 0.0
Uncorrected energy, eV per atom: -1.9117

| no. | V (A^3/atom) |
| --- | --- |
| 1 | 25.088 |
| 2 | 31.217 |
| 3 | 27.611 |
| 4 | 34.687 |
| 5 | 42.154 |
| 6 | 30.970 |
| 7 | 25.925 |
| 8 | 36.664 |
| 9 | 25.158 |
| 10 | 35.430 |
| 11 | 30.097 |
| 12 | 28.286 |
| 13 | 29.871 |
| 14 | 31.178 |
| 15 | 24.386 |
| 16 | 28.088 |
| 17 | 27.084 |
| 18 | 28.740 |
| 19 | 28.686 |
| 20 | 27.431 |